# La4PmY3Te8, optimized geometry, DFT PBE
# * E: -277.4 eV per cell
# * formation energy (no corrections): -1.4666 eV per atom
data_La4PmY3Te8
_chemical_formula_sum 'La12 Pm3 Y9 Te24'
_space_group_name_H-M_alt 'R -3 m'
_space_group_IT_number 166
_space_group_name_Hall '-R 3 2"'
_cell_length_a 8.9581
_cell_length_b 8.9581
_cell_length_c 22.0465
_cell_angle_alpha 90.00
_cell_angle_beta 90.00
_cell_angle_gamma 120.00
loop_
_atom_site_label
_atom_site_type_symbol
_atom_site_fract_x
_atom_site_fract_y
_atom_site_fract_z
La1 La 0.0000 0.0000 0.0000
La2 La 0.0000 0.5000 0.0000
Pm1 Pm 0.0000 0.0000 0.5000
Y1 Y 0.0000 0.5000 0.5000
Te1 Te 0.0000 0.0000 0.2446
Te2 Te 0.0041 0.5021 0.7544

---

# Y2TcBr, optimized geometry, DFT PBE
# * E: -24.4 eV per cell
# * E above lowest polymorph: 0.7316 eV per atom
# * formation energy (no corrections): 0.1412 eV per atom
data_Y2TcBr
_chemical_formula_sum 'Y2 Tc1 Br1'
_space_group_name_H-M_alt 'P 4 m m'
_space_group_IT_number 99
_cell_length_a 3.389
_cell_length_b 3.389
_cell_length_c 9.592
_cell_angle_alpha 90.00
_cell_angle_beta 90.00
_cell_angle_gamma 90.00
loop_
_space_group_symop_operation_xyz
'x,y,z'
'-y,x,z'
'-x,-y,z'
'y,-x,z'
'-x,y,z'
'y,x,z'
'x,-y,z'
'-y,-x,z'
loop_
_atom_site_label
_atom_site_type_symbol
_atom_site_fract_x
_atom_site_fract_y
_atom_site_fract_z
Y1 Y 0.000 0.000 0.000
Y2 Y 0.500 0.500 0.312
Tc1 Tc 0.500 0.500 0.820
Br1 Br 0.000 0.000 0.498

---

# TaV3Hg, optimized geometry, DFT PBE
# * E: -32.4 eV per cell
# * E above lowest polymorph: 0.0000 eV per atom
# * formation energy from the elements: 1.413 eV per atom
data_TaV3Hg
_chemical_formula_sum 'Ta1 V3 Hg1'
_space_group_name_H-M_alt 'P m -3 m'
_space_group_IT_number 221
_space_group_name_Hall '-P 4 2 3'
_cell_length_a 4.649
_cell_length_b 4.649
_cell_length_c 4.649
_cell_angle_alpha 90.00
_cell_angle_beta 90.00
_cell_angle_gamma 90.00
loop_
_atom_site_label
_atom_site_type_symbol
_atom_site_fract_x
_atom_site_fract_y
_atom_site_fract_z
Ta1 Ta 0.000 0.000 0.000
V1 V 0.000 0.000 0.500
Hg1 Hg 0.500 0.500 0.500

---

Question: What is the formula in the second record?
Answer: Y2TcBr